1.
# HfZrVCo PBE optimized geometry
data_HfZrVCo
_cell_length_a 6.4785
_cell_length_b 6.4785
_cell_length_c 6.4785
_cell_angle_alpha 90.00
_cell_angle_beta 90.00
_cell_angle_gamma 90.00
_symmetry_space_group_name_H-M 'F -4 3 m'
_symmetry_Int_Tables_number 216
_symmetry_space_group_name_Hall 'F -4 2 3'
loop_
_atom_site_label
_atom_site_type_symbol
_atom_site_fract_x
_atom_site_fract_y
_atom_site_fract_z
Hf1 Hf 0.0000 0.0000 0.0000
Zr1 Zr 0.0000 0.0000 0.5000
V1 V 0.2500 0.2500 0.2500
Co1 Co 0.2500 0.2500 0.7500
# ΔE_f ... -0.0391 eV per atom
# Magnetization ... 8.95 μB per cell
# Crystal system ... cubic

2.
# Li2LaNdHg4 PBE optimized geometry
data_Li2LaNdHg4
_cell_length_a 5.1750
_cell_length_b 5.1750
_cell_length_c 25.5540
_cell_angle_alpha 90.00
_cell_angle_beta 90.00
_cell_angle_gamma 120.00
_symmetry_space_group_name_H-M 'R -3 m'
_symmetry_Int_Tables_number 166
_symmetry_space_group_name_Hall '-R 3 2"'
loop_
_atom_site_label
_atom_site_type_symbol
_atom_site_fract_x
_atom_site_fract_y
_atom_site_fract_z
Li1 Li 0.0000 0.0000 0.2486
La1 La 0.0000 0.0000 0.0000
Nd1 Nd 0.0000 0.0000 0.5000
Hg1 Hg 0.0000 0.0000 0.1257
Hg2 Hg 0.0000 0.0000 0.3771
# ΔE_f ... -0.4594 eV per atom
# Magnetization ... 0.00 μB per cell
# Crystal system ... trigonal

3.
# K3Pa3MnTe8 PBE optimized geometry
data_K3Pa3MnTe8
_cell_length_a 8.7397
_cell_length_b 8.7397
_cell_length_c 25.6114
_cell_angle_alpha 90.00
_cell_angle_beta 90.00
_cell_angle_gamma 120.00
_symmetry_space_group_name_H-M 'R -3 m'
_symmetry_Int_Tables_number 166
_symmetry_space_group_name_Hall '-R 3 2"'
loop_
_atom_site_label
_atom_site_type_symbol
_atom_site_fract_x
_atom_site_fract_y
_atom_site_fract_z
K1 K 0.0000 0.5000 0.0000
Pa1 Pa 0.0000 0.5000 0.5000
Mn1 Mn 0.0000 0.0000 0.5000
Te1 Te 0.0000 0.0000 0.2386
Te2 Te 0.0119 0.5059 0.2336
# Magnetization ... 27.18 μB per cell
# Crystal system ... trigonal
# ΔE_f (raw) ... -0.820 eV/atom

4.
# TiZn2Ni2 PBE optimized geometry
data_TiZn2Ni2
_cell_length_a 7.0368
_cell_length_b 7.0368
_cell_length_c 2.6799
_cell_angle_alpha 90.00
_cell_angle_beta 90.00
_cell_angle_gamma 90.00
_symmetry_space_group_name_H-M 'P 4/m b m'
_symmetry_Int_Tables_number 127
_symmetry_space_group_name_Hall '-P 4 2ab'
loop_
_atom_site_label
_atom_site_type_symbol
_atom_site_fract_x
_atom_site_fract_y
_atom_site_fract_z
Ti1 Ti 0.0000 0.0000 0.0000
Zn1 Zn 0.1656 0.3344 0.5000
Ni1 Ni 0.1310 0.6310 0.0000
# ΔE_f ... -0.1743 eV per atom
# Magnetization ... 0.00 μB per cell
# Distance to the lowest polymorph of the same formula ... 0.046 eV per atom
# Crystal system ... tetragonal

5.
# BaSr2LaAg PBE optimized geometry
data_BaSr2LaAg
_cell_length_a 6.6142
_cell_length_b 6.6142
_cell_length_c 5.6143
_cell_angle_alpha 90.00
_cell_angle_beta 90.00
_cell_angle_gamma 90.00
_symmetry_space_group_name_H-M 'P 4/m m m'
_symmetry_Int_Tables_number 123
_symmetry_space_group_name_Hall '-P 4 2'
loop_
_atom_site_label
_atom_site_type_symbol
_atom_site_fract_x
_atom_site_fract_y
_atom_site_fract_z
Ba1 Ba 0.0000 0.0000 0.0000
Sr1 Sr 0.0000 0.5000 0.5000
La1 La 0.5000 0.5000 0.5000
Ag1 Ag 0.5000 0.5000 0.0000
# ΔE_f ... 0.4385 eV per atom
# Magnetization ... 0.00 μB per cell
# Distance to the lowest polymorph of the same formula ... 0.423 eV per atom
# Crystal system ... tetragonal

6.
# LaMnI3 PBE optimized geometry
data_LaMnI3
_cell_length_a 5.5385
_cell_length_b 5.5385
_cell_length_c 5.5385
_cell_angle_alpha 90.00
_cell_angle_beta 90.00
_cell_angle_gamma 90.00
_symmetry_space_group_name_H-M 'P m -3 m'
_symmetry_Int_Tables_number 221
_symmetry_space_group_name_Hall '-P 4 2 3'
loop_
_atom_site_label
_atom_site_type_symbol
_atom_site_fract_x
_atom_site_fract_y
_atom_site_fract_z
La1 La 0.0000 0.0000 0.0000
Mn1 Mn 0.5000 0.5000 0.5000
I1 I 0.0000 0.5000 0.5000
# Magnetization ... 3.24 μB per cell
# Crystal system ... cubic
# ΔE_f (raw) ... -0.302 eV/atom

7.
# PuNpURh PBE optimized geometry
data_PuNpURh
_cell_length_a 6.6731
_cell_length_b 6.6731
_cell_length_c 6.6731
_cell_angle_alpha 90.00
_cell_angle_beta 90.00
_cell_angle_gamma 90.00
_symmetry_space_group_name_H-M 'F -4 3 m'
_symmetry_Int_Tables_number 216
_symmetry_space_group_name_Hall 'F -4 2 3'
loop_
_atom_site_label
_atom_site_type_symbol
_atom_site_fract_x
_atom_site_fract_y
_atom_site_fract_z
Pu1 Pu 0.0000 0.0000 0.0000
Np1 Np 0.2500 0.2500 0.7500
U1 U 0.0000 0.0000 0.5000
Rh1 Rh 0.2500 0.2500 0.2500
# ΔE_f ... -0.0991 eV per atom
# Magnetization ... 8.18 μB per cell
# Crystal system ... cubic

8.
# K4Pa3AgTe8 PBE optimized geometry
data_K4Pa3AgTe8
_cell_length_a 8.9535
_cell_length_b 8.9535
_cell_length_c 24.9084
_cell_angle_alpha 90.00
_cell_angle_beta 90.00
_cell_angle_gamma 120.00
_symmetry_space_group_name_H-M 'R -3 m'
_symmetry_Int_Tables_number 166
_symmetry_space_group_name_Hall '-R 3 2"'
loop_
_atom_site_label
_atom_site_type_symbol
_atom_site_fract_x
_atom_site_fract_y
_atom_site_fract_z
K1 K 0.0000 0.0000 0.0000
K2 K 0.0000 0.5000 0.0000
Pa1 Pa 0.0000 0.5000 0.5000
Ag1 Ag 0.0000 0.0000 0.5000
Te1 Te 0.0000 0.0000 0.2379
Te2 Te 0.0027 0.5014 0.7639
# Magnetization ... 12.04 μB per cell
# Crystal system ... trigonal
# ΔE_f (raw) ... -0.867 eV/atom

9.
# BaPu2GaP4 PBE optimized geometry
data_BaPu2GaP4
_cell_length_a 4.0730
_cell_length_b 13.9822
_cell_length_c 13.6322
_cell_angle_alpha 90.00
_cell_angle_beta 90.00
_cell_angle_gamma 90.00
_symmetry_space_group_name_H-M 'C m c m'
_symmetry_Int_Tables_number 63
_symmetry_space_group_name_Hall '-C 2c 2'
loop_
_atom_site_label
_atom_site_type_symbol
_atom_site_fract_x
_atom_site_fract_y
_atom_site_fract_z
Ba1 Ba 0.0000 0.1112 0.2500
Pu1 Pu 0.0000 0.3706 0.0544
Ga1 Ga 0.0000 0.1616 0.7500
P1 P 0.0000 0.0000 0.0000
P2 P 0.0000 0.2586 0.6092
P3 P 0.0000 0.4343 0.2500
# ΔE_f ... -0.8942 eV per atom
# Magnetization ... 35.99 μB per cell
# Crystal system ... orthorhombic

10.
# Th2Sb2C PBE optimized geometry
data_Th2Sb2C
_cell_length_a 4.1984
_cell_length_b 15.8488
_cell_length_c 8.3915
_cell_angle_alpha 90.00
_cell_angle_beta 90.00
_cell_angle_gamma 90.00
_symmetry_space_group_name_H-M 'C m c 21'
_symmetry_Int_Tables_number 36
_symmetry_space_group_name_Hall 'C 2c -2'
loop_
_atom_site_label
_atom_site_type_symbol
_atom_site_fract_x
_atom_site_fract_y
_atom_site_fract_z
Th1 Th 0.0000 0.0564 0.0000
Th2 Th 0.0000 0.3536 0.8630
Sb1 Sb 0.0000 0.2849 0.5083
Sb2 Sb 0.0000 0.4486 0.2106
C1 C 0.0000 0.0766 0.3020
# Magnetization ... 0.00 μB per cell
# Crystal system ... orthorhombic
# ΔE_f (raw) ... -0.371 eV/atom

11.
# CsMnTe2 PBE optimized geometry
data_CsMnTe2
_cell_length_a 6.9935
_cell_length_b 6.9935
_cell_length_c 13.4502
_cell_angle_alpha 90.00
_cell_angle_beta 90.00
_cell_angle_gamma 90.00
_symmetry_space_group_name_H-M 'I 41/a m d'
_symmetry_Int_Tables_number 141
loop_
_symmetry_equiv_pos_as_xyz
'x,y,z'
'-x,-y,-z'
'-y+1/4,x+3/4,z+1/4'
'y+1/4,-x+3/4,-z+1/4'
'-x+1/2,-y,z+1/2'
'x+1/2,y,-z+1/2'
'y+1/4,-x+1/4,z+3/4'
'-y+1/4,x+1/4,-z+3/4'
'x,-y,-z'
'-x,y,z'
'-y+1/4,-x+1/4,-z+3/4'
'y+1/4,x+1/4,z+3/4'
'-x+1/2,y,-z+1/2'
'x+1/2,-y,z+1/2'
'y+1/4,x+3/4,-z+1/4'
'-y+1/4,-x+3/4,z+1/4'
'x+1/2,y+1/2,z+1/2'
'-x+1/2,-y+1/2,-z+1/2'
'-y+3/4,x+1/4,z+3/4'
'y+3/4,-x+1/4,-z+3/4'
'-x,-y+1/2,z'
'x,y+1/2,-z'
'y+3/4,-x+3/4,z+1/4'
'-y+3/4,x+3/4,-z+1/4'
'x+1/2,-y+1/2,-z+1/2'
'-x+1/2,y+1/2,z+1/2'
'-y+3/4,-x+3/4,-z+1/4'
'y+3/4,x+3/4,z+1/4'
'-x,y+1/2,-z'
'x,-y+1/2,z'
'y+3/4,x+1/4,-z+3/4'
'-y+3/4,-x+1/4,z+3/4'
loop_
_atom_site_label
_atom_site_type_symbol
_atom_site_fract_x
_atom_site_fract_y
_atom_site_fract_z
Cs1 Cs 0.0000 0.2500 0.3750
Mn1 Mn 0.0000 0.2500 0.8750
Te1 Te 0.0000 0.2500 0.0669
# Magnetization ... 16.00 μB per cell
# Crystal system ... tetragonal
# ΔE_f (raw) ... -0.247 eV/atom

12.
# SrAl2SiH2 PBE optimized geometry
data_SrAl2SiH2
_cell_length_a 5.9512
_cell_length_b 5.7114
_cell_length_c 6.4703
_cell_angle_alpha 90.00
_cell_angle_beta 115.85
_cell_angle_gamma 90.00
_symmetry_space_group_name_H-M 'P 1 21/m 1'
_symmetry_Int_Tables_number 11
_symmetry_space_group_name_Hall '-P 2yb'
loop_
_atom_site_label
_atom_site_type_symbol
_atom_site_fract_x
_atom_site_fract_y
_atom_site_fract_z
Sr1 Sr 0.2441 0.2500 0.4948
Al1 Al 0.2555 0.0060 0.9940
Si1 Si 0.1397 0.7500 0.2581
H1 H 0.3748 0.2500 0.1905
H2 H 0.4417 0.2500 0.9033
# Magnetization ... 0.00 μB per cell
# Crystal system ... monoclinic
# Raw total energy ... -0.2675 Ry per atom

13.
# LiNi2P PBE optimized geometry
data_LiNi2P
_cell_length_a 2.7718
_cell_length_b 2.7718
_cell_length_c 6.1928
_cell_angle_alpha 90.00
_cell_angle_beta 90.00
_cell_angle_gamma 90.00
_symmetry_space_group_name_H-M 'P 4/m m m'
_symmetry_Int_Tables_number 123
_symmetry_space_group_name_Hall '-P 4 2'
loop_
_atom_site_label
_atom_site_type_symbol
_atom_site_fract_x
_atom_site_fract_y
_atom_site_fract_z
Li1 Li 0.0000 0.0000 0.0000
Ni1 Ni 0.5000 0.5000 0.2939
P1 P 0.0000 0.0000 0.5000
# ΔE_f ... -0.2086 eV per atom
# Magnetization ... 0.00 μB per cell
# Crystal system ... tetragonal

14.
# Th3TeRhSe PBE optimized geometry
data_Th3TeRhSe
_cell_length_a 8.1790
_cell_length_b 4.1860
_cell_length_c 10.2827
_cell_angle_alpha 90.00
_cell_angle_beta 111.69
_cell_angle_gamma 90.00
_symmetry_space_group_name_H-M 'P 1 21/m 1'
_symmetry_Int_Tables_number 11
_symmetry_space_group_name_Hall '-P 2yb'
loop_
_atom_site_label
_atom_site_type_symbol
_atom_site_fract_x
_atom_site_fract_y
_atom_site_fract_z
Th1 Th 0.1752 0.2500 0.1349
Th2 Th 0.2808 0.7500 0.4844
Th3 Th 0.3097 0.7500 0.8974
Te1 Te 0.4895 0.2500 0.7328
Rh1 Rh 0.0341 0.2500 0.8202
Se1 Se 0.0031 0.7500 0.6285
# Magnetization ... 0.00 μB per cell
# Crystal system ... monoclinic
# ΔE_f (raw) ... -0.981 eV/atom

15.
# Mo2PbSe PBE optimized geometry
data_Mo2PbSe
_cell_length_a 3.3042
_cell_length_b 3.3042
_cell_length_c 7.9338
_cell_angle_alpha 90.00
_cell_angle_beta 90.00
_cell_angle_gamma 90.00
_symmetry_space_group_name_H-M 'P 4 m m'
_symmetry_Int_Tables_number 99
_symmetry_space_group_name_Hall 'P 4 -2'
loop_
_atom_site_label
_atom_site_type_symbol
_atom_site_fract_x
_atom_site_fract_y
_atom_site_fract_z
Mo1 Mo 0.0000 0.0000 0.0000
Mo2 Mo 0.5000 0.5000 0.1584
Pb1 Pb 0.0000 0.0000 0.4246
Se1 Se 0.5000 0.5000 0.8209
# Magnetization ... 0.00 μB per cell
# Distance to the lowest polymorph of the same formula ... 0.000 eV per atom
# Crystal system ... tetragonal
# ΔE_f (raw) ... 0.138 eV/atom

16.
# LaTbPr2Ho PBE optimized geometry
data_LaTbPr2Ho
_cell_length_a 8.5980
_cell_length_b 6.5954
_cell_length_c 6.3413
_cell_angle_alpha 90.00
_cell_angle_beta 96.77
_cell_angle_gamma 90.00
_symmetry_space_group_name_H-M 'P 1 2/c 1'
_symmetry_Int_Tables_number 13
_symmetry_space_group_name_Hall '-P 2yc'
loop_
_atom_site_label
_atom_site_type_symbol
_atom_site_fract_x
_atom_site_fract_y
_atom_site_fract_z
La1 La 0.0000 0.0000 0.0000
Tb1 Tb 0.0000 0.4376 0.2500
Pr1 Pr 0.3113 0.3107 0.7107
Ho1 Ho 0.5000 0.1647 0.2500
# ΔE_f ... 0.2695 eV per atom
# Magnetization ... 0.00 μB per cell
# Crystal system ... monoclinic

17.
# NaIn8Cu2 PBE optimized geometry
data_NaIn8Cu2
_cell_length_a 6.5687
_cell_length_b 6.5687
_cell_length_c 6.4806
_cell_angle_alpha 90.00
_cell_angle_beta 90.00
_cell_angle_gamma 90.00
_symmetry_space_group_name_H-M 'P 4/m m m'
_symmetry_Int_Tables_number 123
_symmetry_space_group_name_Hall '-P 4 2'
loop_
_atom_site_label
_atom_site_type_symbol
_atom_site_fract_x
_atom_site_fract_y
_atom_site_fract_z
Na1 Na 0.0000 0.0000 0.0000
In1 In 0.2654 0.2654 0.2546
Cu1 Cu 0.0000 0.5000 0.5000
# ΔE_f ... 0.0979 eV per atom
# Magnetization ... 0.00 μB per cell
# Crystal system ... tetragonal

18.
# Zn5Mo PBE optimized geometry
data_Zn5Mo
_cell_length_a 7.1037
_cell_length_b 7.1037
_cell_length_c 7.1037
_cell_angle_alpha 90.00
_cell_angle_beta 90.00
_cell_angle_gamma 90.00
_symmetry_space_group_name_H-M 'F -4 3 m'
_symmetry_Int_Tables_number 216
_symmetry_space_group_name_Hall 'F -4 2 3'
loop_
_atom_site_label
_atom_site_type_symbol
_atom_site_fract_x
_atom_site_fract_y
_atom_site_fract_z
Zn1 Zn 0.0000 0.0000 0.0000
Zn2 Zn 0.1242 0.1242 0.3758
Mo1 Mo 0.2500 0.2500 0.7500
# ΔE_f ... 0.2754 eV per atom
# Magnetization ... 7.31 μB per cell
# Distance to the lowest polymorph of the same formula ... 0.250 eV per atom
# Crystal system ... cubic

19.
# NbMoSe2 PBE optimized geometry
data_NbMoSe2
_cell_length_a 3.1397
_cell_length_b 3.1397
_cell_length_c 26.3912
_cell_angle_alpha 90.00
_cell_angle_beta 90.00
_cell_angle_gamma 120.00
_symmetry_space_group_name_H-M 'R -3 m'
_symmetry_Int_Tables_number 166
_symmetry_space_group_name_Hall '-R 3 2"'
loop_
_atom_site_label
_atom_site_type_symbol
_atom_site_fract_x
_atom_site_fract_y
_atom_site_fract_z
Nb1 Nb 0.0000 0.0000 0.0000
Mo1 Mo 0.0000 0.0000 0.5000
Se1 Se 0.0000 0.0000 0.0984
# Magnetization ... 0.00 μB per cell
# Distance to the lowest polymorph of the same formula ... 0.064 eV per atom
# Crystal system ... trigonal
# ΔE_f (raw) ... -0.059 eV/atom

20.
# CaW4Se PBE optimized geometry
data_CaW4Se
_cell_length_a 7.7249
_cell_length_b 7.7249
_cell_length_c 7.7249
_cell_angle_alpha 90.00
_cell_angle_beta 90.00
_cell_angle_gamma 90.00
_symmetry_space_group_name_H-M 'F -4 3 m'
_symmetry_Int_Tables_number 216
_symmetry_space_group_name_Hall 'F -4 2 3'
loop_
_atom_site_label
_atom_site_type_symbol
_atom_site_fract_x
_atom_site_fract_y
_atom_site_fract_z
Ca1 Ca 0.0000 0.0000 0.0000
W1 W 0.1245 0.1245 0.3755
Se1 Se 0.2500 0.2500 0.7500
# Magnetization ... 0.00 μB per cell
# Crystal system ... cubic
# ΔE_f (raw) ... 0.758 eV/atom